A geometry-optimized PmZnAgPd structure, computed with PBE.

Cell lengths 4.536, 4.536, 5.359 Å; angles 115.06, 115.06, 60.16 degrees
Element x y z (fractional)
Pm 0.000 0.000 0.000
Zn 0.519 0.519 0.559
Ag 0.785 0.785 0.355
Pd 0.215 0.215 0.645

Results
E: -15.96 eV per cell
energy relative to the elements: -473 meV/atom
size of the total moment: 0.000 μB/cell